1.
12
Lattice="3.0995 -5.3668 0.0000 3.0995 5.3668 0.0000 -2.0592 0.0000 11.5379" Properties=species:S:1:pos:R:3 comment="Pm3Pr2DyTm6, relaxed, DFT GGA-PBE" space_group="No. 12" formation_energy_kj_per_mol_fu=20 mass_density_g_cm3=8.2 vol_a3_per_atom=32.0 pbc="T T T"
Pm 0.0000 0.0000 0.0000
Pm 3.0995 1.7912 0.0000
Pm 3.0995 -1.7912 0.0000
Pr 2.0699 3.5810 5.7690
Pr 2.0699 -3.5810 5.7690
Dy 2.0699 0.0000 5.7690
Tm 1.0338 1.7867 2.8813
Tm 0.0110 0.0000 8.6608
Tm 1.0338 -1.7867 2.8813
Tm 3.1059 1.7867 8.6566
Tm 4.1287 0.0000 2.8771
Tm 3.1059 -1.7867 8.6566

2.
4
Lattice="2.2669 0.0000 0.0000 1.1236 1.9898 0.0000 0.0868 0.0787 5.9624" Properties=species:S:1:pos:R:3 comment="BeH, relaxed, DFT GGA-PBE" space_group="No. 1" energy_ev_per_cell=-13.31 mass_density_g_cm3=1.2 vol_a3_per_atom=6.7 pbc="T T T"
Be 0.0000 0.0000 0.0000
Be 1.1394 0.6736 1.8518
H 1.1705 0.8899 5.0486
H 2.2595 0.2652 2.7838

3.
9
Lattice="7.7768 0.0000 0.0000 -3.8884 6.7349 0.0000 0.0000 0.0000 4.5492" Properties=species:S:1:pos:R:3 comment="Ac2PmAl6, relaxed, DFT GGA-PBE" space_group="No. 191" formation_energy_kj_per_mol_fu=-346 mass_density_g_cm3=5.3 vol_a3_per_atom=26.5 pbc="T T T"
Ac 0.0000 4.4899 0.0000
Ac 3.8884 2.2450 0.0000
Pm 0.0000 0.0000 0.0000
Al -1.2810 2.2187 2.2746
Al -2.6074 4.5162 2.2746
Al 2.5619 0.0000 2.2746
Al 1.2810 2.2187 2.2746
Al 5.2148 0.0000 2.2746
Al 2.6074 4.5162 2.2746

4.
8
Lattice="15.3209 0.0000 0.0000 0.0000 3.5983 0.0000 -1.2494 0.0000 4.8753" Properties=species:S:1:pos:R:3 comment="TlAs2Cl, relaxed, DFT GGA-PBE" space_group="No. 12" mass_density_g_cm3=4.8 vol_a3_per_atom=33.6 e_form_raw_ev_per_atom=-0.2071 pbc="T T T"
Tl 0.0000 0.0000 0.0000
Tl 7.6604 1.7991 0.0000
As 2.7753 1.7991 1.7790
As 3.6358 0.0000 3.0963
As 10.4357 0.0000 1.7790
As 11.2963 1.7991 3.0963
Cl -0.6247 1.7991 2.4376
Cl 7.0358 0.0000 2.4376

5.
10
Lattice="3.6966 -7.6523 0.0000 3.6966 7.6523 0.0000 0.0000 0.0000 3.8600" Properties=species:S:1:pos:R:3 comment="Er2SbPd7, relaxed, DFT GGA-PBE" space_group="No. 65" mass_density_g_cm3=9.1 vol_a3_per_atom=21.8 e_form_raw_ev_per_atom=-0.2160 pbc="T T T"
Er 3.6966 4.7674 0.0000
Er 3.6966 -4.7674 0.0000
Sb 3.6966 0.0000 1.9300
Pd 0.0000 0.0000 0.0000
Pd 2.3152 1.4443 0.0000
Pd 3.6966 2.9042 1.9300
Pd 2.3152 -1.4443 0.0000
Pd 5.0781 1.4443 0.0000
Pd 3.6966 -2.9042 1.9300
Pd 5.0781 -1.4443 0.0000

6.
12
Lattice="-3.4839 3.4839 3.1954 3.4839 -3.4839 3.1954 3.4839 3.4839 -3.1954" Properties=species:S:1:pos:R:3 comment="YSnGe2O8, relaxed, DFT GGA-PBE" space_group="No. 119" mass_density_g_cm3=5.1 vol_a3_per_atom=12.9 e_form_raw_ev_per_atom=-1.8085 pbc="T T T"
Y 0.0000 0.0000 0.0000
Sn 0.0000 3.4839 1.5977
Ge 3.4839 0.0000 1.5977
Ge 0.0000 0.0000 3.1954
O 2.2356 0.0000 0.3520
O 4.7321 0.0000 0.3520
O 3.4839 2.1526 -1.1824
O 3.4839 -1.2482 2.8434
O 0.0000 1.3312 2.0129
O 3.4839 1.2482 2.8434
O 2.1526 3.4839 1.1824
O 1.3312 0.0000 4.3778

7.
5
Lattice="5.3820 0.0000 0.0000 0.0000 5.3820 0.0000 0.0000 0.0000 5.3820" Properties=species:S:1:pos:R:3 comment="BaHfAg3, relaxed, DFT GGA-PBE" space_group="No. 221" formation_energy_kj_per_mol_fu=185 mass_density_g_cm3=6.8 vol_a3_per_atom=31.2 pbc="T T T"
Ba 0.0000 0.0000 0.0000
Hf 2.6910 2.6910 2.6910
Ag 0.0000 2.6910 2.6910
Ag 2.6910 0.0000 2.6910
Ag 2.6910 2.6910 0.0000

8.
12
Lattice="11.3425 0.0000 0.0000 0.0000 4.9060 0.0000 -5.2218 0.0000 5.8622" Properties=species:S:1:pos:R:3 comment="Sr2MgAg3, relaxed, DFT GGA-PBE" space_group="No. 8" formation_energy_kj_per_mol_fu=-148 mass_density_g_cm3=5.3 vol_a3_per_atom=27.2 pbc="T T T"
Sr 0.0000 0.0000 0.0000
Sr -2.0066 0.0000 3.5677
Sr 5.6712 2.4530 0.0000
Sr 3.6646 2.4530 3.5677
Mg 0.4053 2.4530 2.3268
Mg 6.0765 0.0000 2.3268
Ag 2.3153 2.4530 0.0995
Ag 1.3211 0.0000 3.4416
Ag 3.4018 0.0000 1.2111
Ag 7.9866 0.0000 0.0995
Ag 6.9923 2.4530 3.4416
Ag 9.0730 2.4530 1.2111